Rb5IrS5: relaxed, GGA-PBE.

* Fermi-level density of states: 0.476 states/eV/atom
* formation energy without anion corrections: -547 meV per atom
* spin magnetization: 2.57 μB/f.u.

Unit cell a=14.587 b=6.209 c=8.740 alpha=90.00 beta=110.20 gamma=90.00
Space group C2/m (No. 12)
Inequivalent atoms, fractional coordinates:
Rb 0.000 0.000 0.000 (multiplicity 2)
Rb 0.165 0.500 0.336 (multiplicity 4)
Rb 0.194 0.500 0.800 (multiplicity 4)
Ir 0.000 0.000 0.500 (multiplicity 2)
S 0.000 0.500 0.500 (multiplicity 2)
S 0.120 0.000 0.379 (multiplicity 4)
S 0.126 0.000 0.762 (multiplicity 4)

---

RbIr2S: relaxed, GGA-PBE.

* Fermi-level density of states: 0.855 states/eV/atom
* formation energy without anion corrections: 206 meV per atom
* spin magnetization: 0.00 μB/f.u.

Unit cell a=5.122 b=5.122 c=15.423 alpha=90.00 beta=90.00 gamma=90.00
Space group I4_1/amd (No. 141, origin choice 2)
Inequivalent atoms, fractional coordinates:
Rb 0.000 0.250 0.375 (multiplicity 4)
Ir 0.000 0.000 0.000 (multiplicity 8)
S 0.000 0.250 0.875 (multiplicity 4)

---

RbIrS3: relaxed, GGA-PBE.

* Fermi-level density of states: 0.875 states/eV/atom
* formation energy without anion corrections: 2338 meV per atom
* spin magnetization: 4.18 μB/f.u.

Unit cell a=5.350 b=5.350 c=5.350 alpha=90.00 beta=90.00 gamma=90.00
Space group Pm-3m (No. 221)
Inequivalent atoms, fractional coordinates:
Rb 0.000 0.000 0.000 (multiplicity 1)
Ir 0.500 0.500 0.500 (multiplicity 1)
S 0.000 0.000 0.500 (multiplicity 3)

---

RbIr2S2: relaxed, GGA-PBE.

* Fermi-level density of states: 0.607 states/eV/atom
* formation energy without anion corrections: -57 meV per atom
* spin magnetization: 0.00 μB/f.u.

Unit cell a=4.461 b=4.461 c=11.678 alpha=90.00 beta=90.00 gamma=90.00
Space group I4/mmm (No. 139)
Inequivalent atoms, fractional coordinates:
Rb 0.000 0.000 0.000 (multiplicity 2)
Ir 0.000 0.000 0.313 (multiplicity 4)
S 0.000 0.500 0.250 (multiplicity 4)

---

RbIrS3: relaxed, GGA-PBE.

* Fermi-level density of states: 0.458 states/eV/atom
* formation energy without anion corrections: -467 meV per atom
* spin magnetization: 0.00 μB/f.u.

Unit cell a=6.5276 b=6.5276 c=20.8548 alpha=90.00 beta=90.00 gamma=120.00
Space group R-3m (No. 166, hexagonal axes)
Inequivalent atoms, fractional coordinates:
Rb 0.0000 0.0000 0.1112 (multiplicity 6)
Ir 0.0000 0.0000 0.3339 (multiplicity 6)
S 0.0020 0.5010 0.9316 (multiplicity 18)

---

RbIr6S8: relaxed, GGA-PBE.

* Fermi-level density of states: 0.344 states/eV/atom
* formation energy without anion corrections: -179 meV per atom
* spin magnetization: 0.00 μB/f.u.

Unit cell a=9.3952 b=9.3952 c=11.5503 alpha=90.00 beta=90.00 gamma=120.00
Space group R-3 (No. 148, hexagonal axes)
Inequivalent atoms, fractional coordinates:
Rb 0.0000 0.0000 0.0000 (multiplicity 3)
Ir 0.0164 0.1999 0.3860 (multiplicity 18)
S 0.0000 0.0000 0.2582 (multiplicity 6)
S 0.0309 0.3018 0.5822 (multiplicity 18)

---

RbIr2S2: relaxed, GGA-PBE.

* Fermi-level density of states: 0.406 states/eV/atom
* formation energy without anion corrections: 95 meV per atom
* spin magnetization: 0.00 μB/f.u.

Unit cell a=8.868 b=8.868 c=3.487 alpha=90.00 beta=90.00 gamma=90.00
Space group P4/mbm (No. 127)
Inequivalent atoms, fractional coordinates:
Rb 0.000 0.000 0.000 (multiplicity 2)
Ir 0.098 0.402 0.000 (multiplicity 4)
S 0.203 0.297 0.500 (multiplicity 4)

---

Rb2IrS2: relaxed, GGA-PBE.

* Fermi-level density of states: 0.708 states/eV/atom
* formation energy without anion corrections: 626 meV per atom
* spin magnetization: 2.53 μB/f.u.

Unit cell a=10.033 b=10.033 c=2.829 alpha=90.00 beta=90.00 gamma=90.00
Space group P4/mbm (No. 127)
Inequivalent atoms, fractional coordinates:
Rb 0.142 0.358 0.000 (multiplicity 4)
Ir 0.000 0.000 0.000 (multiplicity 2)
S 0.156 0.656 0.500 (multiplicity 4)

---

RbIrS3: relaxed, GGA-PBE.

* Fermi-level density of states: 0.898 states/eV/atom
* formation energy without anion corrections: -14 meV per atom
* spin magnetization: 2.72 μB/f.u.

Unit cell a=4.826 b=4.826 c=4.826 alpha=90.00 beta=90.00 gamma=90.00
Space group Pm-3m (No. 221)
Inequivalent atoms, fractional coordinates:
Rb 0.000 0.000 0.000 (multiplicity 1)
Ir 0.500 0.500 0.500 (multiplicity 1)
S 0.000 0.500 0.500 (multiplicity 3)

---

RbScIr2S: relaxed, GGA-PBE.

* Fermi-level density of states: 1.144 states/eV/atom
* formation energy without anion corrections: 2095 meV per atom
* spin magnetization: 1.10 μB/f.u.

Unit cell a=4.792 b=4.792 c=5.458 alpha=90.00 beta=90.00 gamma=90.00
Space group P4/mmm (No. 123)
Inequivalent atoms, fractional coordinates:
Rb 0.000 0.000 0.000 (multiplicity 1)
Sc 0.500 0.500 0.500 (multiplicity 1)
Ir 0.000 0.500 0.000 (multiplicity 2)
S 0.000 0.000 0.500 (multiplicity 1)

---

RbSi2IrS8: relaxed, GGA-PBE.

* Fermi-level density of states: 0.651 states/eV/atom
* formation energy without anion corrections: -349 meV per atom
* spin magnetization: 0.00 μB/f.u.

Unit cell a=5.9241 b=5.9241 c=10.1959 alpha=90.00 beta=90.00 gamma=120.00
Space group P-3 (No. 147)
Inequivalent atoms, fractional coordinates:
Rb 0.0000 0.0000 0.0000 (multiplicity 1)
Si 0.3333 0.6667 0.6916 (multiplicity 2)
Ir 0.0000 0.0000 0.5000 (multiplicity 1)
S 0.0199 0.6679 0.3808 (multiplicity 6)
S 0.3333 0.6667 0.8927 (multiplicity 2)

---

RbSrIrS2: relaxed, GGA-PBE.

* Fermi-level density of states: 0.745 states/eV/atom
* formation energy without anion corrections: 1412 meV per atom
* spin magnetization: 4.00 μB/f.u.

Unit cell a=5.526 b=5.526 c=6.066 alpha=90.00 beta=90.00 gamma=90.00
Space group P4/mmm (No. 123)
Inequivalent atoms, fractional coordinates:
Rb 0.000 0.000 0.000 (multiplicity 1)
Sr 0.000 0.000 0.500 (multiplicity 1)
Ir 0.500 0.500 0.500 (multiplicity 1)
S 0.000 0.500 0.000 (multiplicity 2)

---

What did the sixth record say?
RbIr6S8: relaxed, GGA-PBE.

* Fermi-level density of states: 0.344 states/eV/atom
* formation energy without anion corrections: -179 meV per atom
* spin magnetization: 0.00 μB/f.u.

Unit cell a=9.3952 b=9.3952 c=11.5503 alpha=90.00 beta=90.00 gamma=120.00
Space group R-3 (No. 148, hexagonal axes)
Inequivalent atoms, fractional coordinates:
Rb 0.0000 0.0000 0.0000 (multiplicity 3)
Ir 0.0164 0.1999 0.3860 (multiplicity 18)
S 0.0000 0.0000 0.2582 (multiplicity 6)
S 0.0309 0.3018 0.5822 (multiplicity 18)